No. 1
4
Lattice="4.703 0.000 0.000 2.352 4.073 0.000 2.352 1.358 3.840" Properties=species:S:1:pos:R:3 comment="TaTe2Os | Alexandria via LeMat-Bulk | GGA-PBEsol | optimized geometry" volume_a3_per_atom=18.39 formation_energy_uncorrected_ev_per_atom=0.467 pbc="T T T"
Os 4.703 2.716 1.920
Ta 0.000 0.000 0.000
Te 2.352 1.358 0.960
Te 7.055 4.073 2.880

No. 2
5
Lattice="-2.575 -3.161 1.384 1.467 -2.565 -3.131 3.123 -1.401 2.611" Properties=species:S:1:pos:R:3 comment="Tc3PO | Alexandria via LeMat-Bulk | GGA-PBEsol | optimized geometry" volume_a3_per_atom=15.96 formation_energy_uncorrected_ev_per_atom=1.383 pbc="T T T"
P 0.000 0.000 0.000
Tc 0.733 -1.283 -1.566
Tc 1.562 -0.701 1.306
Tc -1.287 -1.581 0.692
O 1.008 -3.564 0.432

No. 3
5
Lattice="5.163 0.000 0.000 0.000 5.163 0.000 0.000 0.000 5.163" Properties=species:S:1:pos:R:3 comment="RbCaMo3 | Alexandria via LeMat-Bulk | GGA-PBEsol | optimized geometry" volume_a3_per_atom=27.53 e_tot_ev_per_cell=-23.10 pbc="T T T"
Mo 0.000 2.581 0.000
Mo 0.000 0.000 2.581
Mo 2.581 0.000 0.000
Ca 0.000 0.000 0.000
Rb 2.581 2.581 2.581

No. 4
14
Lattice="2.842 0.000 0.000 0.000 2.842 0.000 -1.421 -1.421 14.439" Properties=species:S:1:pos:R:3 comment="Li5Ni2O2F5 | Alexandria via LeMat-Bulk | GGA-PBEsol | optimized geometry" volume_a3_per_atom=8.33 formation_energy_uncorrected_ev_per_atom=-2.237 pbc="T T T"
Li 0.000 0.000 0.000
Li 0.000 0.000 4.022
Li 1.421 1.421 10.417
Li 1.421 1.421 1.982
Li 0.000 0.000 12.458
Ni 0.000 0.000 8.246
Ni 1.421 1.421 6.193
O 1.421 1.421 8.280
O 0.000 0.000 6.159
F 1.421 1.421 0.000
F 1.421 1.421 3.968
F 0.000 0.000 10.472
F 0.000 0.000 1.993
F 1.421 1.421 12.447

No. 5
4
Lattice="-2.410 2.270 -2.295 1.445 -1.803 -3.302 -4.042 -3.918 0.371" Properties=species:S:1:pos:R:3 comment="Hg2SbP | Alexandria via LeMat-Bulk | GGA-PBEsol | optimized geometry" volume_a3_per_atom=22.89 formation_energy_uncorrected_ev_per_atom=0.159 pbc="T T T"
Hg 0.000 0.000 0.000
Hg -0.482 0.233 -2.798
P -2.503 -1.726 -2.613
Sb -2.021 -1.959 0.185

No. 6
6
Lattice="3.717 0.000 0.000 0.000 5.408 0.025 -1.859 -2.247 4.869" Properties=species:S:1:pos:R:3 comment="Be2Te | Alexandria via LeMat-Bulk | GGA-PBEsol | optimized geometry" volume_a3_per_atom=16.35 formation_energy_uncorrected_ev_per_atom=0.192 pbc="T T T"
Be 1.859 4.870 0.923
Be 1.859 2.185 4.607
Be 0.000 0.976 0.287
Be 0.000 -1.709 3.971
Te 0.000 2.960 1.667
Te 1.859 0.201 3.227

No. 7
4
Lattice="2.482 0.000 0.000 0.000 2.482 0.000 0.000 0.000 7.739" Properties=species:S:1:pos:R:3 comment="AlCr2Cu | Alexandria via LeMat-Bulk | GGA-PBEsol | optimized geometry" volume_a3_per_atom=11.92 e_tot_ev_per_cell=-28.18 pbc="T T T"
Cr 0.000 0.000 5.826
Cr 0.000 0.000 1.913
Al 1.241 1.241 3.869
Cu 1.241 1.241 0.000

No. 8
5
Lattice="-4.002 1.520 -1.809 -2.112 -0.706 4.079 1.059 4.335 1.299" Properties=species:S:1:pos:R:3 comment="GaW3I | Alexandria via LeMat-Bulk | GGA-PBEsol | optimized geometry" volume_a3_per_atom=20.08 formation_energy_uncorrected_ev_per_atom=2.260 pbc="T T T"
I -2.528 2.574 1.785
Ga 0.000 0.000 0.000
W -1.056 -0.353 2.040
W 0.529 2.167 0.649
W -2.001 0.760 -0.904

No. 9
4
Lattice="-2.540 1.436 0.511 -0.813 -2.483 2.935 3.664 2.356 3.008" Properties=species:S:1:pos:R:3 comment="ScPIr2 | Alexandria via LeMat-Bulk | GGA-PBEsol | optimized geometry" volume_a3_per_atom=14.79 e_tot_ev_per_cell=-34.54 pbc="T T T"
Ir 0.868 3.464 3.171
Ir 1.048 0.627 3.451
P 0.873 1.122 1.191
Sc -1.331 -0.080 2.194

No. 10
4
Lattice="3.092 0.000 0.000 1.546 2.678 0.000 1.546 0.893 7.520" Properties=species:S:1:pos:R:3 comment="BaBeF2 | Alexandria via LeMat-Bulk | GGA-PBEsol | optimized geometry" volume_a3_per_atom=15.57 formation_energy_uncorrected_ev_per_atom=-1.491 pbc="T T T"
Be 3.092 1.785 3.760
Ba 0.000 0.000 0.000
F 4.639 2.678 2.970
F 1.546 0.893 4.549

No. 11
5
Lattice="-0.732 4.402 -3.480 1.660 -3.182 -4.374 -5.360 -1.587 -0.880" Properties=species:S:1:pos:R:3 comment="Sr3CaH | Alexandria via LeMat-Bulk | GGA-PBEsol | optimized geometry" volume_a3_per_atom=36.24 e_tot_ev_per_cell=-11.56 pbc="T T T"
Sr 0.830 -1.591 -2.187
Sr -2.680 -0.793 -0.440
Sr -0.366 2.201 -1.740
Ca -2.216 -0.184 -4.367
H 0.000 0.000 0.000

No. 12
6
Lattice="4.400 0.000 0.000 0.000 4.400 0.000 0.000 0.000 8.125" Properties=species:S:1:pos:R:3 comment="CeTeCl | Alexandria via LeMat-Bulk | GGA-PBEsol | optimized geometry" volume_a3_per_atom=26.21 formation_energy_uncorrected_ev_per_atom=-1.710 pbc="T T T"
Ce 0.000 2.200 6.171
Ce 2.200 0.000 1.954
Te 0.000 2.200 2.949
Te 2.200 0.000 5.176
Cl 0.000 0.000 0.000
Cl 2.200 2.200 0.000

No. 13
4
Lattice="3.759 0.000 0.000 0.000 4.746 0.000 0.000 0.000 4.443" Properties=species:S:1:pos:R:3 comment="Mg2HgAs | Alexandria via LeMat-Bulk | GGA-PBEsol | optimized geometry" volume_a3_per_atom=19.82 e_tot_ev_per_cell=-10.35 pbc="T T T"
As 2.348 0.000 0.000
Hg 2.351 2.373 2.222
Mg 0.472 2.373 0.000
Mg 0.469 0.000 2.222

No. 14
4
Lattice="-2.526 -2.077 -2.882 3.071 -2.607 1.663 -2.257 1.367 3.469" Properties=species:S:1:pos:R:3 comment="P2IrAu | Alexandria via LeMat-Bulk | GGA-PBEsol | optimized geometry" volume_a3_per_atom=15.84 e_tot_ev_per_cell=-24.37 pbc="T T T"
Au 0.000 0.000 0.000
Ir 0.407 -0.620 2.566
P -2.391 -0.355 0.294
P 0.273 -2.342 -0.610

No. 15
3
Lattice="3.936 0.000 0.000 1.968 3.409 0.000 1.968 1.136 3.214" Properties=species:S:1:pos:R:3 comment="MnCoMo | Alexandria via LeMat-Bulk | GGA-PBEsol | optimized geometry" volume_a3_per_atom=14.37 e_tot_ev_per_cell=-27.43 pbc="T T T"
Co 1.968 1.136 0.803
Mn 0.000 0.000 0.000
Mo 3.936 2.272 1.607

No. 16
20
Lattice="8.725 0.000 0.000 4.362 8.528 -0.047 4.362 2.222 8.233" Properties=species:S:1:pos:R:3 comment="CsPdCl3 | Alexandria via LeMat-Bulk | GGA-PBEsol | optimized geometry" volume_a3_per_atom=30.67 formation_energy_uncorrected_ev_per_atom=-1.111 pbc="T T T"
Cs 2.181 1.892 1.441
Cs 10.906 8.858 6.745
Cs 15.268 8.858 6.745
Cs 6.543 1.892 1.441
Pd 4.362 5.736 2.448
Pd 13.087 5.015 5.738
Pd 8.725 6.865 3.308
Pd 8.725 3.885 4.878
Cl 13.087 6.912 4.434
Cl 4.362 3.838 3.753
Cl 8.725 4.638 2.702
Cl 8.725 6.112 5.484
Cl 13.087 7.628 1.215
Cl 4.362 3.122 6.972
Cl 8.725 7.551 1.156
Cl 8.725 3.199 7.031
Cl 8.725 1.726 4.189
Cl 8.725 9.024 3.997
Cl 13.087 6.253 7.636
Cl 4.362 4.498 0.550

No. 17
18
Lattice="5.675 0.012 0.011 1.697 6.389 0.033 1.697 0.253 6.384" Properties=species:S:1:pos:R:3 comment="V5CoO12 | Alexandria via LeMat-Bulk | GGA-PBEsol | optimized geometry" volume_a3_per_atom=12.84 formation_energy_uncorrected_ev_per_atom=-2.134 pbc="T T T"
V 3.802 2.542 1.303
V 6.614 1.420 2.511
V 5.267 5.263 3.932
V 2.455 4.095 5.095
V 1.697 0.761 5.859
Co 4.534 5.868 0.583
O 3.924 1.193 0.217
O 3.982 4.030 0.586
O 0.946 0.268 1.207
O 5.120 2.320 2.471
O 5.087 5.929 2.420
O 2.258 2.511 2.157
O 3.948 4.104 4.195
O 6.802 0.769 4.069
O 6.811 4.411 3.992
O 5.145 6.395 5.243
O 2.267 2.560 5.799
O 8.122 5.438 6.202

No. 18
5
Lattice="-4.916 1.032 -0.475 1.447 -5.072 0.796 -0.867 -2.046 4.530" Properties=species:S:1:pos:R:3 comment="SrP2S2 | Alexandria via LeMat-Bulk | GGA-PBEsol | optimized geometry" volume_a3_per_atom=20.19 formation_energy_uncorrected_ev_per_atom=-0.323 pbc="T T T"
Sr 0.000 0.000 0.000
S -3.614 -3.297 3.439
S -0.722 -2.790 1.412
P -3.043 -1.432 1.581
P -1.293 -4.654 3.270

No. 19
4
Lattice="-2.006 -1.500 -2.531 3.912 -2.715 -1.491 -2.335 -1.736 5.384" Properties=species:S:1:pos:R:3 comment="Y2CrCd | Alexandria via LeMat-Bulk | GGA-PBEsol | optimized geometry" volume_a3_per_atom=23.53 e_tot_ev_per_cell=-24.39 pbc="T T T"
Cd 0.879 -2.314 -1.830
Cr 1.318 -3.132 0.812
Y -0.374 -5.798 1.228
Y -1.727 -2.765 0.503

No. 20
16
Lattice="4.173 0.000 0.000 0.000 6.594 0.000 0.000 0.000 13.492" Properties=species:S:1:pos:R:3 comment="ErAgSe2 | Alexandria via LeMat-Bulk | GGA-PBEsol | optimized geometry" volume_a3_per_atom=23.20 formation_energy_uncorrected_ev_per_atom=-1.189 pbc="T T T"
Er 0.852 1.940 1.699
Er 2.938 1.358 11.793
Er 3.321 5.237 5.047
Er 1.234 4.655 8.445
Ag 2.121 4.676 11.716
Ag 2.052 1.379 8.523
Ag 0.035 5.215 1.776
Ag 4.138 1.918 4.970
Se 3.276 3.308 7.098
Se 1.189 6.583 6.394
Se 0.897 0.011 13.140
Se 2.983 3.286 0.352
Se 3.311 6.027 9.788
Se 2.948 0.567 3.041
Se 0.862 2.730 10.451
Se 1.224 3.864 3.705

No. 21
10
Lattice="-1.467 -3.406 -1.966 -2.680 -1.940 5.363 -5.260 3.130 -1.497" Properties=species:S:1:pos:R:3 comment="Mg2AlIr2 | Alexandria via LeMat-Bulk | GGA-PBEsol | optimized geometry" volume_a3_per_atom=16.67 e_tot_ev_per_cell=-59.16 pbc="T T T"
Mg -4.678 0.059 -1.092
Mg -6.907 -0.382 1.337
Mg -4.730 -2.275 2.992
Mg -2.501 -1.834 0.563
Ir -5.492 1.994 0.645
Ir -5.671 0.332 3.657
Ir -2.449 -0.804 3.221
Ir -2.270 0.857 0.209
Al 0.000 0.000 0.000
Al -3.970 0.595 1.933

No. 22
4
Lattice="-2.635 0.202 1.019 -0.982 -1.373 -2.275 1.013 -7.542 4.113" Properties=species:S:1:pos:R:3 comment="ZrMoAu2 | Alexandria via LeMat-Bulk | GGA-PBEsol | optimized geometry" volume_a3_per_atom=17.35 e_tot_ev_per_cell=-28.93 pbc="T T T"
Au 1.009 -7.516 4.099
Au -1.058 -6.175 2.420
Mo 0.520 -3.871 2.111
Zr -1.556 -2.464 0.397

No. 23
3
Lattice="5.263 0.000 0.000 2.632 4.558 0.000 2.632 1.519 4.298" Properties=species:S:1:pos:R:3 comment="KBaNi | Alexandria via LeMat-Bulk | GGA-PBEsol | optimized geometry" volume_a3_per_atom=34.37 e_tot_ev_per_cell=-7.98 pbc="T T T"
Ba 0.000 0.000 0.000
K 5.263 3.039 2.149
Ni 2.632 1.519 1.074

No. 24
10
Lattice="-2.107 -0.554 2.543 -4.472 -1.543 -1.838 0.792 -5.970 1.560" Properties=species:S:1:pos:R:3 comment="Cu2O3 | Alexandria via LeMat-Bulk | GGA-PBEsol | optimized geometry" volume_a3_per_atom=9.61 formation_energy_uncorrected_ev_per_atom=-0.420 pbc="T T T"
Cu -4.692 -5.192 1.613
Cu -0.831 -5.907 1.350
Cu -3.921 -1.888 -0.335
Cu -1.113 -2.880 0.674
O -2.565 -3.947 0.736
O -0.205 -4.169 1.651
O -3.177 -6.199 2.053
O -1.251 -0.329 1.510
O -2.058 -1.723 -0.454
O -6.083 -4.030 1.219

No. 25
4
Lattice="3.264 0.000 0.000 1.632 2.827 0.000 1.632 0.942 8.508" Properties=species:S:1:pos:R:3 comment="MoAuSe2 | Alexandria via LeMat-Bulk | GGA-PBEsol | optimized geometry" volume_a3_per_atom=19.63 formation_energy_uncorrected_ev_per_atom=0.659 pbc="T T T"
Mo 0.000 0.000 0.000
Au 3.264 1.885 4.254
Se 4.896 2.827 2.357
Se 1.632 0.942 6.151

No. 26
10
Lattice="3.137 0.000 0.000 0.000 6.083 -0.003 0.000 -1.916 5.774" Properties=species:S:1:pos:R:3 comment="NiPt3O6 | Alexandria via LeMat-Bulk | GGA-PBEsol | optimized geometry" volume_a3_per_atom=11.01 formation_energy_uncorrected_ev_per_atom=-0.525 pbc="T T T"
Ni 0.000 2.084 2.885
O 0.000 2.276 5.280
O 0.000 1.891 0.491
O 0.000 4.296 3.821
O 0.000 -0.129 1.949
O 1.568 3.231 2.057
O 1.568 0.936 3.714
Pt 1.568 -0.958 2.887
Pt 0.000 0.000 0.000
Pt 1.568 3.042 -0.002